Record 1
Material: V5Mo5W2
Method: DFT, GGA-PBE
State: relaxed

Structure (POSCAR):
```
V5Mo5W2
1.0
4.247 0.000 1.044
1.924 4.567 1.333
-0.009 -0.022 9.196
V Mo W
5 5 2
direct
0.834 0.831 0.501
0.251 0.752 0.746
0.749 0.248 0.254
0.166 0.169 0.499
0.000 0.000 0.000
0.500 0.500 0.500
0.333 0.335 0.000
0.413 0.922 0.252
0.587 0.078 0.748
0.667 0.665 0.000
0.919 0.413 0.749
0.081 0.587 0.251
```

* energy relative to the elements: -0.113 eV per atom


Record 2
Material: Cu3Pd7Au
Method: DFT, GGA-PBE
State: relaxed

Structure (POSCAR):
```
Cu3Pd7Au
1.0
6.521 0.000 0.000
0.000 5.533 0.000
0.000 -2.767 4.792
Cu Pd Au
3 7 1
direct
0.785 0.503 0.497
0.785 0.503 0.007
0.785 0.993 0.497
0.099 0.165 0.835
0.099 0.165 0.330
0.105 0.667 0.333
0.463 0.835 0.165
0.463 0.331 0.165
0.463 0.835 0.669
0.099 0.670 0.835
0.465 0.333 0.667
```

* energy relative to the elements: 0.045 eV per atom


Record 3
Material: Li3HoSc2Se6
Method: DFT, GGA-PBE
State: relaxed

Structure (POSCAR):
```
Li3HoSc2Se6
1.0
6.809 -0.002 -0.001
-3.404 5.897 -0.001
-1.136 -1.967 6.439
Li Ho Sc Se
3 1 2 6
direct
0.166 0.834 0.500
0.834 0.166 0.500
0.500 0.500 0.500
0.000 0.000 0.000
0.333 0.667 0.000
0.667 0.333 0.000
0.918 0.573 0.755
0.738 0.738 0.247
0.082 0.427 0.245
0.573 0.918 0.755
0.262 0.262 0.753
0.427 0.082 0.245
```

* uncorrected formation energy: -156.9 kJ per mole of atoms


Record 4
Material: Ba3TbBi2O6
Method: DFT, GGA-PBE
State: relaxed

Structure (POSCAR):
```
Ba3TbBi2O6
1.0
6.170 0.000 0.000
-3.085 5.343 0.000
0.000 0.000 7.256
Ba Tb Bi O
3 1 2 6
direct
0.333 0.667 0.626
0.667 0.333 0.374
0.000 0.000 0.000
0.000 0.000 0.500
0.667 0.333 0.877
0.333 0.667 0.123
0.655 0.828 0.320
0.172 0.345 0.320
0.172 0.828 0.320
0.828 0.655 0.680
0.345 0.172 0.680
0.828 0.172 0.680
```

* uncorrected formation energy: -204.7 kJ per mole of atoms


Record 5
Material: ScMo2Pb
Method: DFT, GGA-PBE
State: relaxed

Structure (POSCAR):
```
ScMo2Pb
1.0
-0.910 1.013 5.307
3.324 -2.397 3.637
0.544 2.929 -4.599
Mo Pb Sc
2 1 1
direct
0.000 0.000 0.000
0.500 0.500 0.000
0.250 0.750 0.500
0.750 0.250 0.500
```

* energy relative to the elements: 0.363 eV per atom


Record 6
Material: K2H3F6
Method: DFT, GGA-PBE
State: relaxed

Structure (POSCAR):
```
K2H3F6
1.0
-4.538 -5.581 0.920
2.372 -6.777 -0.829
1.685 -4.422 10.067
K H F
4 6 12
direct
0.339 0.840 0.984
0.838 0.340 0.484
0.661 0.160 0.016
0.162 0.660 0.516
0.043 0.963 0.748
0.461 0.250 0.750
0.754 0.537 0.752
0.246 0.463 0.248
0.957 0.037 0.252
0.539 0.750 0.250
0.034 0.957 0.854
0.457 0.156 0.855
0.662 0.529 0.857
0.155 0.457 0.354
0.952 0.029 0.357
0.532 0.656 0.355
0.966 0.043 0.146
0.543 0.844 0.145
0.338 0.471 0.143
0.845 0.543 0.646
0.048 0.971 0.643
0.468 0.344 0.645
```

* total DFT energy (no corrections): -88.8 eV for the cell shown


Record 7
Material: InMoOs2
Method: DFT, GGA-PBE
State: relaxed

Structure (POSCAR):
```
InMoOs2
1.0
9.268 0.010 0.006
8.824 2.834 0.006
8.824 1.387 2.471
In Mo Os
1 1 2
direct
0.250 0.250 0.250
0.750 0.750 0.750
0.005 0.005 0.005
0.495 0.495 0.495
```

* energy relative to the elements: 0.317 eV per atom


Record 8
Material: LiNd3Sn3
Method: DFT, GGA-PBE
State: relaxed

Structure (POSCAR):
```
LiNd3Sn3
1.0
4.637 0.000 0.699
2.283 5.839 0.586
0.180 0.116 14.549
Li Nd Sn
2 6 6
direct
0.759 0.081 0.402
0.241 0.919 0.598
0.537 0.310 0.616
0.463 0.690 0.384
0.256 0.265 0.223
0.744 0.735 0.777
0.404 0.272 0.920
0.596 0.728 0.080
0.867 0.715 0.552
0.133 0.285 0.448
0.127 0.821 0.925
0.873 0.179 0.075
0.966 0.832 0.236
0.034 0.168 0.764
```

* energy relative to the elements: -0.707 eV per atom


Record 9
Material: CsNp2InCl8
Method: DFT, GGA-PBE
State: relaxed

Structure (POSCAR):
```
CsNp2InCl8
1.0
-7.352 -1.820 1.552
3.520 -3.057 -6.168
2.607 -6.511 4.714
Cs Np In Cl
1 2 1 8
direct
0.000 0.000 0.500
0.667 0.333 0.077
0.333 0.667 0.923
0.000 0.000 0.000
0.949 0.615 0.855
0.385 0.334 0.855
0.666 0.051 0.855
0.051 0.385 0.145
0.615 0.666 0.145
0.334 0.949 0.145
0.667 0.333 0.386
0.333 0.667 0.614
```

* uncorrected formation energy: -151.4 kJ per mole of atoms


Record 10
Material: Fe3Re
Method: DFT, GGA-PBE
State: relaxed

Structure (POSCAR):
```
Fe3Re
1.0
-2.887 1.210 4.016
2.888 -4.192 0.111
3.067 2.154 1.555
Fe Re
6 2
direct
0.162 0.325 0.250
0.675 0.838 0.250
0.162 0.838 0.250
0.838 0.675 0.750
0.325 0.162 0.750
0.838 0.162 0.750
0.333 0.667 0.750
0.667 0.333 0.250
```

* energy relative to the elements: -0.007 eV per atom


Record 11
Material: GaAsPO2
Method: DFT, GGA-PBE
State: relaxed

Structure (POSCAR):
```
GaAsPO2
1.0
-0.925 -2.485 -2.594
1.695 -2.664 1.947
-4.625 -1.021 2.629
P As O Ga
1 1 2 1
direct
0.000 0.000 0.500
0.500 0.500 0.500
0.000 0.500 0.000
0.500 0.000 0.000
0.000 0.000 0.000
```

* uncorrected formation energy: -12.1 kJ per mole of atoms
* distance to the lowest polymorph of the same formula: 197 meV/atom


Record 12
Material: CaAcPmPr
Method: DFT, GGA-PBE
State: relaxed

Structure (POSCAR):
```
CaAcPmPr
1.0
6.041 0.000 0.000
3.021 5.232 0.000
3.021 1.744 4.933
Pr Ac Ca Pm
1 1 1 1
direct
0.000 0.000 0.000
0.500 0.500 0.500
0.250 0.250 0.250
0.750 0.750 0.750
```

* energy relative to the elements: 0.105 eV per atom


Copy entry 6 word for word.
Material: K2H3F6
Method: DFT, GGA-PBE
State: relaxed

Structure (POSCAR):
```
K2H3F6
1.0
-4.538 -5.581 0.920
2.372 -6.777 -0.829
1.685 -4.422 10.067
K H F
4 6 12
direct
0.339 0.840 0.984
0.838 0.340 0.484
0.661 0.160 0.016
0.162 0.660 0.516
0.043 0.963 0.748
0.461 0.250 0.750
0.754 0.537 0.752
0.246 0.463 0.248
0.957 0.037 0.252
0.539 0.750 0.250
0.034 0.957 0.854
0.457 0.156 0.855
0.662 0.529 0.857
0.155 0.457 0.354
0.952 0.029 0.357
0.532 0.656 0.355
0.966 0.043 0.146
0.543 0.844 0.145
0.338 0.471 0.143
0.845 0.543 0.646
0.048 0.971 0.643
0.468 0.344 0.645
```

* total DFT energy (no corrections): -88.8 eV for the cell shown